(1)
Material: Ba9NaPt3
Method: DFT, PBE
State: relaxed

Unit cell a=8.179 b=12.139 c=13.369 alpha=90.00 beta=95.91 gamma=90.00
Fractional positions:
Ba  0.055  0.250  0.201
Ba  0.161  0.565  0.377
Ba  0.161  0.935  0.377
Ba  0.184  0.250  0.846
Ba  0.237  0.552  0.043
Ba  0.237  0.948  0.043
Ba  0.351  0.554  0.701
Ba  0.351  0.946  0.701
Ba  0.369  0.250  0.516
Ba  0.631  0.750  0.484
Ba  0.649  0.054  0.299
Ba  0.649  0.446  0.299
Ba  0.763  0.052  0.957
Ba  0.763  0.448  0.957
Ba  0.816  0.750  0.154
Ba  0.839  0.065  0.623
Ba  0.839  0.435  0.623
Ba  0.945  0.750  0.799
Na  0.476  0.250  0.091
Na  0.524  0.750  0.909
Pt  0.054  0.003  0.827
Pt  0.054  0.497  0.827
Pt  0.500  0.000  0.500
Pt  0.500  0.500  0.500
Pt  0.946  0.503  0.173
Pt  0.946  0.997  0.173

calculated total energy	-3.260	eV per atom
space-group type	No. 11
crystal system	monoclinic
formation energy	-0.433	eV/atom

(2)
Material: ZrAgTe2
Method: DFT, PBE
State: relaxed

Unit cell a=4.182 b=3.925 c=12.330 alpha=90.00 beta=90.00 gamma=90.00
Fractional positions:
Zr  0.000  0.000  0.000
Zr  0.000  0.500  0.500
Ag  0.500  0.000  0.821
Ag  0.500  0.500  0.321
Te  0.000  0.000  0.319
Te  0.000  0.500  0.819
Te  0.500  0.000  0.584
Te  0.500  0.500  0.084

formation energy without anion corrections	-0.5311	eV per atom
calculated total energy	-4.952	eV per atom
space-group type	No. 38
crystal system	orthorhombic

(3)
Material: LiLa2Tl2
Method: DFT, PBE
State: relaxed

Unit cell a=6.238 b=6.238 c=11.846 alpha=116.05 beta=116.05 gamma=46.60
Fractional positions:
Li  0.220  0.220  0.364
Li  0.780  0.780  0.636
La  0.327  0.327  0.901
La  0.491  0.491  0.668
La  0.509  0.509  0.332
La  0.673  0.673  0.099
Tl  0.025  0.025  0.877
Tl  0.151  0.151  0.578
Tl  0.849  0.849  0.422
Tl  0.975  0.975  0.123

calculated total energy	-3.633	eV per atom
space-group type	No. 12
crystal system	monoclinic
energy relative to the lowest polymorph listed for this composition	0.0	meV per atom
formation energy	-0.333	eV/atom

(4)
Material: CsNa2TlBr6
Method: DFT, PBE
State: relaxed

Unit cell a=7.643 b=7.652 c=8.366 alpha=90.09 beta=117.13 gamma=119.94
Fractional positions:
Cs  0.000  0.000  0.000
Na  0.538  0.269  0.806
Na  0.584  0.792  0.375
Tl  0.920  0.460  0.379
Br  0.065  0.221  0.591
Br  0.066  0.479  0.118
Br  0.371  0.845  0.591
Br  0.533  0.054  0.119
Br  0.640  0.587  0.118
Br  0.746  0.526  0.590

formation energy without anion corrections	-1.1537	eV per atom
calculated total energy	-2.743	eV per atom
space-group type	No. 1
crystal system	triclinic